(1)
Compound: AlNi2Ag
Source: Alexandria via LeMat-Bulk
Functional: PBE
Structure: optimized geometry

Summary:
total moment	0.000	μB/atom
ΔH_f (0 K)	-0.099	eV/atom

a b c (Å): 2.7359 2.7359 25.0075
angles (deg): 90.00 90.00 120.00
Space group R-3m (No. 166, hexagonal axes)
Inequivalent atoms, fractional coordinates:
Al 0.0000 0.0000 0.0000 [3 per cell]
Ni 0.0000 0.0000 0.2579 [6 per cell]
Ag 0.0000 0.0000 0.5000 [3 per cell]

***

(2)
Compound: Ac4Cd2Ni
Source: Alexandria via LeMat-Bulk
Functional: PBE
Structure: optimized geometry

Summary:
total moment	0.000	μB/atom
ΔH_f (0 K)	-0.111	eV/atom
distance to the lowest polymorph of the same formula	8.8	meV per atom

a b c (Å): 4.1025 13.4437 17.8239
angles (deg): 90.00 90.00 90.00
Space group Cmcm (No. 63)
Inequivalent atoms, fractional coordinates:
Ac 0.0000 0.0000 0.0000 [4 per cell]
Ac 0.0000 0.3490 0.1486 [8 per cell]
Ac 0.0000 0.3888 0.7500 [4 per cell]
Cd 0.0000 0.3093 0.5518 [8 per cell]
Ni 0.0000 0.0549 0.7500 [4 per cell]

***

(3)
Compound: LiPrTc2N4
Source: Alexandria via LeMat-Bulk
Functional: PBE
Structure: optimized geometry

Summary:
total moment	0.000	μB/atom
VASP energy	-128.074	eV/cell

a b c (Å): 5.4980 5.6170 6.5442
angles (deg): 90.00 90.00 90.00
Space group I222 (No. 23)
Inequivalent atoms, fractional coordinates:
Li 0.0000 0.0000 0.0000 [2 per cell]
Pr 0.0000 0.0000 0.5000 [2 per cell]
Tc 0.0000 0.5000 0.2798 [4 per cell]
N 0.2451 0.2465 0.7531 [8 per cell]

***

(4)
Compound: ZnSnP2Rh
Source: Alexandria via LeMat-Bulk
Functional: PBE
Structure: optimized geometry

Summary:
total moment	0.000	μB/atom
ΔH_f (0 K)	0.289	eV/atom

a b c (Å): 4.6392 4.6392 4.7638
angles (deg): 90.00 90.00 90.00
Space group P4/mmm (No. 123)
Inequivalent atoms, fractional coordinates:
Zn 0.0000 0.0000 0.0000 [1 per cell]
Sn 0.5000 0.5000 0.0000 [1 per cell]
P 0.0000 0.5000 0.5000 [2 per cell]
Rh 0.0000 0.0000 0.5000 [1 per cell]

***

(5)
Compound: PrEr2In
Source: Alexandria via LeMat-Bulk
Functional: PBE
Structure: optimized geometry

Summary:
total moment	0.001	μB/atom
ΔH_f (0 K)	-0.256	eV/atom
distance to the lowest polymorph of the same formula	0.0	meV per atom

a b c (Å): 4.9053 4.9053 4.8411
angles (deg): 90.00 90.00 90.00
Space group P4/mmm (No. 123)
Inequivalent atoms, fractional coordinates:
Pr 0.0000 0.0000 0.0000 [1 per cell]
Er 0.0000 0.5000 0.5000 [2 per cell]
In 0.5000 0.5000 0.0000 [1 per cell]

***

(6)
Compound: Dy12Ho5Mg
Source: Alexandria via LeMat-Bulk
Functional: PBE
Structure: optimized geometry

Summary:
total moment	0.000	μB/atom
ΔH_f (0 K)	0.016	eV/atom

a b c (Å): 6.1278 10.6142 17.2425
angles (deg): 90.00 96.77 90.00
Space group C2/m (No. 12)
Inequivalent atoms, fractional coordinates:
Dy 0.1112 0.0000 0.3342 [4 per cell]
Dy 0.1119 0.3330 0.3340 [8 per cell]
Dy 0.2227 0.1667 0.1674 [8 per cell]
Dy 0.2234 0.5000 0.1674 [4 per cell]
Ho 0.0000 0.0000 0.0000 [2 per cell]
Ho 0.0000 0.1665 0.5000 [4 per cell]
Ho 0.0000 0.3335 0.0000 [4 per cell]
Mg 0.0000 0.5000 0.5000 [2 per cell]

***

(7)
Compound: LaEr12Sc2
Source: Alexandria via LeMat-Bulk
Functional: PBE
Structure: optimized geometry

Summary:
total moment	0.000	μB/atom
ΔH_f (0 K)	0.086	eV/atom

a b c (Å): 3.5666 5.5658 23.2021
angles (deg): 90.00 94.39 90.00
Space group P2/m (No. 10)
Inequivalent atoms, fractional coordinates:
La 0.0000 0.0000 0.0000 [1 per cell]
Er 0.0961 0.5000 0.1967 [2 per cell]
Er 0.2201 0.5000 0.4424 [2 per cell]
Er 0.2915 0.0000 0.5793 [2 per cell]
Er 0.3404 0.5000 0.6782 [2 per cell]
Er 0.4242 0.0000 0.8448 [2 per cell]
Er 0.4661 0.5000 0.9301 [2 per cell]
Sc 0.1417 0.0000 0.2868 [2 per cell]

***

(8)
Compound: NaYGe2
Source: Alexandria via LeMat-Bulk
Functional: PBE
Structure: optimized geometry

Summary:
total moment	0.000	μB/atom
ΔH_f (0 K)	-0.032	eV/atom
distance to the lowest polymorph of the same formula	352.1	meV per atom

a b c (Å): 7.7821 7.7821 6.1891
angles (deg): 90.00 90.00 90.00
Space group I-42d (No. 122)
Inequivalent atoms, fractional coordinates:
Na 0.0000 0.0000 0.0000 [4 per cell]
Y 0.0000 0.0000 0.5000 [4 per cell]
Ge 0.2374 0.2500 0.1250 [8 per cell]

***

(9)
Compound: Pm8Ge5Bi
Source: Alexandria via LeMat-Bulk
Functional: PBE
Structure: optimized geometry

Summary:
total moment	0.000	μB/atom
ΔH_f (0 K)	-0.825	eV/atom

a b c (Å): 9.2237 9.2237 9.1474
angles (deg): 90.00 90.00 90.00
Space group I-4 (No. 82)
Inequivalent atoms, fractional coordinates:
Pm 0.0649 0.1884 0.3145 [8 per cell]
Pm 0.0693 0.3286 0.9376 [8 per cell]
Ge 0.0000 0.5000 0.2500 [2 per cell]
Ge 0.1274 0.2503 0.6265 [8 per cell]
Bi 0.0000 0.0000 0.0000 [2 per cell]

***

(10)
Compound: NdSmY14
Source: Alexandria via LeMat-Bulk
Functional: PBE
Structure: optimized geometry

Summary:
total moment	0.000	μB/atom
ΔH_f (0 K)	0.021	eV/atom

a b c (Å): 7.1689 7.1689 10.1087
angles (deg): 90.00 90.00 90.00
Space group P4/mmm (No. 123)
Inequivalent atoms, fractional coordinates:
Nd 0.0000 0.0000 0.0000 [1 per cell]
Sm 0.5000 0.5000 0.0000 [1 per cell]
Y 0.0000 0.0000 0.5000 [1 per cell]
Y 0.0000 0.5000 0.0000 [2 per cell]
Y 0.0000 0.5000 0.5000 [2 per cell]
Y 0.2503 0.2503 0.2509 [8 per cell]
Y 0.5000 0.5000 0.5000 [1 per cell]

***

(11)
Compound: Dy2Zn3Pt
Source: Alexandria via LeMat-Bulk
Functional: PBE
Structure: optimized geometry

Summary:
total moment	0.000	μB/atom
ΔH_f (0 K)	-0.648	eV/atom
distance to the lowest polymorph of the same formula	0.0	meV per atom

a b c (Å): 3.5809 4.4332 7.6710
angles (deg): 90.00 90.00 90.00
Space group Pmm2 (No. 25)
Inequivalent atoms, fractional coordinates:
Dy 0.0000 0.0000 0.0000 [1 per cell]
Dy 0.0000 0.5000 0.4562 [1 per cell]
Zn 0.5000 0.0000 0.6523 [1 per cell]
Zn 0.5000 0.5000 0.1327 [1 per cell]
Zn 0.5000 0.5000 0.8056 [1 per cell]
Pt 0.5000 0.0000 0.3119 [1 per cell]

***

(12)
Compound: VIn3Ni
Source: Alexandria via LeMat-Bulk
Functional: PBE
Structure: optimized geometry

Summary:
total moment	0.268	μB/atom
ΔH_f (0 K)	1.025	eV/atom
distance to the lowest polymorph of the same formula	551.7	meV per atom

a b c (Å): 5.1323 5.1323 5.1323
angles (deg): 90.00 90.00 90.00
Space group Pm-3m (No. 221)
Inequivalent atoms, fractional coordinates:
V 0.0000 0.0000 0.0000 [1 per cell]
In 0.0000 0.0000 0.5000 [3 per cell]
Ni 0.5000 0.5000 0.5000 [1 per cell]

***

Please write out number 10 again, unchanged.
Compound: NdSmY14
Source: Alexandria via LeMat-Bulk
Functional: PBE
Structure: optimized geometry

Summary:
total moment	0.000	μB/atom
ΔH_f (0 K)	0.021	eV/atom

a b c (Å): 7.1689 7.1689 10.1087
angles (deg): 90.00 90.00 90.00
Space group P4/mmm (No. 123)
Inequivalent atoms, fractional coordinates:
Nd 0.0000 0.0000 0.0000 [1 per cell]
Sm 0.5000 0.5000 0.0000 [1 per cell]
Y 0.0000 0.0000 0.5000 [1 per cell]
Y 0.0000 0.5000 0.0000 [2 per cell]
Y 0.0000 0.5000 0.5000 [2 per cell]
Y 0.2503 0.2503 0.2509 [8 per cell]
Y 0.5000 0.5000 0.5000 [1 per cell]